# 1
# Mn3NiN, optimized geometry, DFT PBE
data_Mn3NiN
_chemical_formula_sum 'Mn3 Ni1 N1'
_space_group_name_H-M_alt 'P 1'
_space_group_IT_number 1
_cell_length_a 3.7030
_cell_length_b 3.7030
_cell_length_c 3.7030
_cell_angle_alpha 90.00
_cell_angle_beta 90.00
_cell_angle_gamma 90.00
loop_
_space_group_symop_operation_xyz
'x,y,z'
loop_
_atom_site_label
_atom_site_type_symbol
_atom_site_fract_x
_atom_site_fract_y
_atom_site_fract_z
Ni1 Ni 0.5000 0.5000 0.5000
Mn1 Mn 0.0000 0.5000 0.0000
Mn2 Mn 0.0000 0.0000 0.5000
Mn3 Mn 0.5000 0.0000 0.0000
N1 N 0.0000 0.0000 0.0000
# **Size of the total moment**: 0.00 μB per formula unit
# **Formation energy from raw total energies**: -0.08 eV/atom

***

# 2
# Tc2IrOs, optimized geometry, DFT PBE
data_Tc2IrOs
_chemical_formula_sum 'Tc8 Ir4 Os4'
_space_group_name_H-M_alt 'P 1'
_space_group_IT_number 1
_cell_length_a 6.5489
_cell_length_b 5.5308
_cell_length_c 8.4995
_cell_angle_alpha 130.66
_cell_angle_beta 90.00
_cell_angle_gamma 90.00
loop_
_space_group_symop_operation_xyz
'x,y,z'
loop_
_atom_site_label
_atom_site_type_symbol
_atom_site_fract_x
_atom_site_fract_y
_atom_site_fract_z
Tc1 Tc 0.9999 0.0439 0.7969
Tc2 Tc 0.0001 0.9561 0.2031
Tc3 Tc 0.4999 0.4561 0.7031
Tc4 Tc 0.5001 0.5439 0.2969
Tc5 Tc 0.2985 0.4999 0.0000
Tc6 Tc 0.7015 0.5001 0.0000
Tc7 Tc 0.7985 0.0001 0.5000
Tc8 Tc 0.2015 0.9999 0.5000
Ir1 Ir 0.0000 0.4505 0.2018
Ir2 Ir 0.0000 0.5495 0.7982
Ir3 Ir 0.5000 0.0495 0.2982
Ir4 Ir 0.5000 0.9505 0.7018
Os1 Os 0.8006 0.4999 0.5000
Os2 Os 0.1994 0.5001 0.5000
Os3 Os 0.3006 0.0001 0.0000
Os4 Os 0.6994 0.9999 0.0000
# **Size of the total moment**: 0.00 μB per formula unit
# **Formation energy from the elements**: 0.009 eV/atom

***

# 3
# K2Pa3S8, optimized geometry, DFT PBE
data_K2Pa3S8
_chemical_formula_sum 'K2 Pa3 S8'
_space_group_name_H-M_alt 'P 1'
_space_group_IT_number 1
_cell_length_a 4.1696
_cell_length_b 11.3392
_cell_length_c 11.2733
_cell_angle_alpha 133.87
_cell_angle_beta 90.00
_cell_angle_gamma 90.00
loop_
_space_group_symop_operation_xyz
'x,y,z'
loop_
_atom_site_label
_atom_site_type_symbol
_atom_site_fract_x
_atom_site_fract_y
_atom_site_fract_z
K1 K 0.5000 0.2581 0.5354
K2 K 0.5000 0.7419 0.4646
Pa1 Pa 0.5000 0.0000 0.0000
Pa2 Pa 0.0000 0.2687 0.9228
Pa3 Pa 0.0000 0.7313 0.0772
S1 S 0.0000 0.5828 0.1865
S2 S 0.0000 0.4172 0.8135
S3 S 0.0000 0.0578 0.1907
S4 S 0.0000 0.9422 0.8093
S5 S 0.5000 0.7029 0.8839
S6 S 0.5000 0.1275 0.7225
S7 S 0.5000 0.8725 0.2775
S8 S 0.5000 0.2971 0.1161
# **Size of the total moment**: 1.22 μB per formula unit
# **Formation energy from raw total energies**: -1.55 eV/atom

***

# 4
# FePC, optimized geometry, DFT PBE
data_FePC
_chemical_formula_sum 'Fe6 P6 C6'
_space_group_name_H-M_alt 'P 1'
_space_group_IT_number 1
_cell_length_a 2.8532
_cell_length_b 2.8532
_cell_length_c 26.3035
_cell_angle_alpha 90.00
_cell_angle_beta 90.00
_cell_angle_gamma 120.00
loop_
_space_group_symop_operation_xyz
'x,y,z'
loop_
_atom_site_label
_atom_site_type_symbol
_atom_site_fract_x
_atom_site_fract_y
_atom_site_fract_z
P1 P 0.0000 0.0000 0.6152
P2 P 0.3333 0.6667 0.2819
P3 P 0.6667 0.3333 0.9486
P4 P 0.0000 0.0000 0.8105
P5 P 0.3333 0.6667 0.4771
P6 P 0.6667 0.3333 0.1438
C1 C 0.0000 0.0000 0.3890
C2 C 0.3333 0.6667 0.0557
C3 C 0.6667 0.3333 0.7224
C4 C 0.0000 0.0000 0.4443
C5 C 0.3333 0.6667 0.1110
C6 C 0.6667 0.3333 0.7777
Fe1 Fe 0.0000 0.0000 0.8941
Fe2 Fe 0.3333 0.6667 0.5608
Fe3 Fe 0.6667 0.3333 0.2274
Fe4 Fe 0.0000 0.0000 0.0142
Fe5 Fe 0.3333 0.6667 0.6809
Fe6 Fe 0.6667 0.3333 0.3475
# **Size of the total moment**: 0.94 μB per formula unit
# **Formation energy from the elements**: 0.133 eV/atom

***

# 5
# Sr4Te5Pb, optimized geometry, DFT PBE
data_Sr4Te5Pb
_chemical_formula_sum 'Sr4 Te5 Pb1'
_space_group_name_H-M_alt 'P 1'
_space_group_IT_number 1
_cell_length_a 4.7272
_cell_length_b 4.7272
_cell_length_c 17.0870
_cell_angle_alpha 97.95
_cell_angle_beta 97.95
_cell_angle_gamma 90.00
loop_
_space_group_symop_operation_xyz
'x,y,z'
loop_
_atom_site_label
_atom_site_type_symbol
_atom_site_fract_x
_atom_site_fract_y
_atom_site_fract_z
Sr1 Sr 0.4007 0.4007 0.8014
Sr2 Sr 0.8002 0.8002 0.6004
Sr3 Sr 0.1998 0.1998 0.3996
Sr4 Sr 0.5993 0.5993 0.1986
Te1 Te 0.0990 0.0990 0.1981
Te2 Te 0.5000 0.5000 0.0000
Te3 Te 0.9010 0.9010 0.8019
Te4 Te 0.3001 0.3001 0.6002
Te5 Te 0.6999 0.6999 0.3998
Pb1 Pb 0.0000 0.0000 0.0000
# **Size of the total moment**: 0.00 μB per formula unit
# **Formation energy from raw total energies**: -1.47 eV/atom

***

# 6
# TlZnCl, optimized geometry, DFT PBE
data_TlZnCl
_chemical_formula_sum 'Tl1 Zn1 Cl1'
_space_group_name_H-M_alt 'P 1'
_space_group_IT_number 1
_cell_length_a 6.3222
_cell_length_b 6.3222
_cell_length_c 6.3222
_cell_angle_alpha 146.28
_cell_angle_beta 146.27
_cell_angle_gamma 48.44
loop_
_space_group_symop_operation_xyz
'x,y,z'
loop_
_atom_site_label
_atom_site_type_symbol
_atom_site_fract_x
_atom_site_fract_y
_atom_site_fract_z
Cl1 Cl 0.0229 0.0229 0.0000
Tl1 Tl 0.3255 0.3255 0.0000
Zn1 Zn 0.6516 0.6516 0.0000
# **Size of the total moment**: 0.00 μB per formula unit
# **Formation energy from raw total energies**: -0.33 eV/atom

***

# 7
# Ba3TlZn2, optimized geometry, DFT PBE
data_Ba3TlZn2
_chemical_formula_sum 'Ba3 Tl1 Zn2'
_space_group_name_H-M_alt 'P 1'
_space_group_IT_number 1
_cell_length_a 4.1787
_cell_length_b 4.1787
_cell_length_c 12.4772
_cell_angle_alpha 90.00
_cell_angle_beta 90.00
_cell_angle_gamma 90.00
loop_
_space_group_symop_operation_xyz
'x,y,z'
loop_
_atom_site_label
_atom_site_type_symbol
_atom_site_fract_x
_atom_site_fract_y
_atom_site_fract_z
Ba1 Ba 0.0000 0.0000 0.0000
Ba2 Ba 0.0000 0.0000 0.6753
Ba3 Ba 0.0000 0.0000 0.3247
Tl1 Tl 0.5000 0.5000 0.5000
Zn1 Zn 0.5000 0.5000 0.8378
Zn2 Zn 0.5000 0.5000 0.1622
# **Size of the total moment**: 0.00 μB per formula unit
# **Formation energy from the elements**: -0.244 eV/atom

***

# 8
# YAl4Ni, optimized geometry, DFT PBE
data_YAl4Ni
_chemical_formula_sum 'Y2 Al8 Ni2'
_space_group_name_H-M_alt 'P 1'
_space_group_IT_number 1
_cell_length_a 4.0635
_cell_length_b 6.6488
_cell_length_c 7.9696
_cell_angle_alpha 90.00
_cell_angle_beta 104.87
_cell_angle_gamma 90.00
loop_
_space_group_symop_operation_xyz
'x,y,z'
loop_
_atom_site_label
_atom_site_type_symbol
_atom_site_fract_x
_atom_site_fract_y
_atom_site_fract_z
Y1 Y 0.3826 0.7500 0.7647
Y2 Y 0.6174 0.2500 0.2353
Ni1 Ni 0.2730 0.2500 0.5465
Ni2 Ni 0.7270 0.7500 0.4535
Al1 Al 0.8109 0.0535 0.6222
Al2 Al 0.1891 0.9465 0.3778
Al3 Al 0.1891 0.5535 0.3778
Al4 Al 0.8109 0.4465 0.6222
Al5 Al 0.0000 0.5000 0.0000
Al6 Al 0.0000 0.0000 0.0000
Al7 Al 0.4238 0.2500 0.8475
Al8 Al 0.5762 0.7500 0.1525
# **Size of the total moment**: 0.00 μB per formula unit
# **Formation energy from the elements**: -0.558 eV/atom

***

> Which formula does entry 3 have?

K2Pa3S8

***

> Number 1 is which compound?

Mn3NiN

***

> Which value of size of the total moment does entry 3 give?

1.22 μB per formula unit